Compound: LiCaHo2Se4
Source: Alexandria via LeMat-Bulk
Functional: PBE-GGA
Structure: optimized geometry

Summary:
Electronic total energy: -5.16 eV per atom
N(E_F): 2.388 states/eV per cell

Lattice parameters (Å, degrees): 7.0141 4.0672 7.1281 90.00 109.20 90.00
Space group P2/m (No. 10)
Inequivalent atoms, fractional coordinates:
Li (0.0000, 0.0000, 0.0000)
Ca (0.5000, 0.5000, 0.0000)
Ho (0.0000, 0.5000, 0.5000)
Ho (0.5000, 0.0000, 0.5000)
Se (0.2434, 0.0000, 0.7472)
Se (0.2462, 0.5000, 0.2517)

***

Compound: AcNdGa
Source: Alexandria via LeMat-Bulk
Functional: PBE-GGA
Structure: optimized geometry

Summary:
ΔE to the lowest computed polymorph: 0.1370 eV/atom
N(E_F): 14.166 states/eV per cell

Lattice parameters (Å, degrees): 7.4554 7.4554 7.4554 90.00 90.00 90.00
Space group F-43m (No. 216)
Inequivalent atoms, fractional coordinates:
Ac (0.0000, 0.0000, 0.0000)
Nd (0.0000, 0.0000, 0.5000)
Ga (0.2500, 0.2500, 0.2500)

***

Compound: V6Tc2Mo
Source: Alexandria via LeMat-Bulk
Functional: PBE-GGA
Structure: optimized geometry

Summary:
ΔE to the lowest computed polymorph: 0.3673 eV/atom
N(E_F): 17.229 states/eV per cell

Lattice parameters (Å, degrees): 8.5858 4.9859 6.5310 90.00 111.71 90.00
Space group C2/m (No. 12)
Inequivalent atoms, fractional coordinates:
V (0.0583, 0.2434, 0.2062)
V (0.2439, 0.5000, 0.9660)
Tc (0.1747, 0.0000, 0.6238)
Mo (0.0000, 0.5000, 0.5000)

***

Compound: CaMn3B
Source: Alexandria via LeMat-Bulk
Functional: PBE-GGA
Structure: optimized geometry

Summary:
ΔE to the lowest computed polymorph: 2.3842 eV/atom
N(E_F): 4.939 states/eV per cell

Lattice parameters (Å, degrees): 4.7415 4.7415 4.7415 90.00 90.00 90.00
Space group Pm-3m (No. 221)
Inequivalent atoms, fractional coordinates:
Ca (0.0000, 0.0000, 0.0000)
Mn (0.0000, 0.0000, 0.5000)
B (0.5000, 0.5000, 0.5000)

***

Compound: HoCd2Ge
Source: Alexandria via LeMat-Bulk
Functional: PBE-GGA
Structure: optimized geometry

Summary:
ΔE to the lowest computed polymorph: 0.6422 eV/atom
N(E_F): 7.761 states/eV per cell

Lattice parameters (Å, degrees): 3.2312 3.2312 33.0291 90.00 90.00 120.00
Space group R-3m (No. 166, hexagonal axes)
Inequivalent atoms, fractional coordinates:
Ho (0.0000, 0.0000, 0.0000)
Cd (0.0000, 0.0000, 0.0939)
Ge (0.0000, 0.0000, 0.5000)

***

Compound: Ga3BiRh
Source: Alexandria via LeMat-Bulk
Functional: PBE-GGA
Structure: optimized geometry

Summary:
ΔE to the lowest computed polymorph: 0.0000 eV/atom
N(E_F): 3.738 states/eV per cell

Lattice parameters (Å, degrees): 4.8422 4.8422 4.8422 90.00 90.00 90.00
Space group Pm-3m (No. 221)
Inequivalent atoms, fractional coordinates:
Ga (0.0000, 0.0000, 0.5000)
Bi (0.5000, 0.5000, 0.5000)
Rh (0.0000, 0.0000, 0.0000)

***

Compound: Na4HoNp3S8
Source: Alexandria via LeMat-Bulk
Functional: PBE-GGA
Structure: optimized geometry

Summary:
Electronic total energy: -6.58 eV per atom
N(E_F): 84.776 states/eV per cell

Lattice parameters (Å, degrees): 8.0201 8.0201 19.9676 90.00 90.00 120.00
Space group R-3m (No. 166, hexagonal axes)
Inequivalent atoms, fractional coordinates:
Na (0.0000, 0.0000, 0.0000)
Na (0.0000, 0.5000, 0.0000)
Ho (0.0000, 0.0000, 0.5000)
Np (0.0000, 0.5000, 0.5000)
S (0.0000, 0.0000, 0.2414)
S (0.0026, 0.5013, 0.2425)

***

Compound: BaBe4Pb
Source: Alexandria via LeMat-Bulk
Functional: PBE-GGA
Structure: optimized geometry

Summary:
Electronic total energy: -2.73 eV per atom
N(E_F): 12.844 states/eV per cell

Lattice parameters (Å, degrees): 7.8195 7.8195 7.8195 90.00 90.00 90.00
Space group F-43m (No. 216)
Inequivalent atoms, fractional coordinates:
Ba (0.0000, 0.0000, 0.0000)
Be (0.1492, 0.1492, 0.6492)
Pb (0.2500, 0.2500, 0.2500)

***

Compound: NaHf3Ga
Source: Alexandria via LeMat-Bulk
Functional: PBE-GGA
Structure: optimized geometry

Summary:
ΔE to the lowest computed polymorph: 0.7237 eV/atom
N(E_F): 4.552 states/eV per cell

Lattice parameters (Å, degrees): 4.9040 4.9040 4.9040 90.00 90.00 90.00
Space group Pm-3m (No. 221)
Inequivalent atoms, fractional coordinates:
Na (0.0000, 0.0000, 0.0000)
Hf (0.0000, 0.0000, 0.5000)
Ga (0.5000, 0.5000, 0.5000)

***

Compound: Al2SiNi
Source: Alexandria via LeMat-Bulk
Functional: PBE-GGA
Structure: optimized geometry

Summary:
ΔE to the lowest computed polymorph: 0.2144 eV/atom
N(E_F): 3.034 states/eV per cell

Lattice parameters (Å, degrees): 5.0723 3.7892 6.1224 90.00 90.00 90.00
Space group Pmma (No. 51)
Inequivalent atoms, fractional coordinates:
Al (0.0000, 0.0000, 0.0000)
Al (0.2500, 0.0000, 0.4162)
Si (0.2500, 0.5000, 0.7319)
Ni (0.2500, 0.5000, 0.1283)

***

Compound: LaSc2Hg
Source: Alexandria via LeMat-Bulk
Functional: PBE-GGA
Structure: optimized geometry

Summary:
Electronic total energy: -4.57 eV per atom
N(E_F): 12.875 states/eV per cell

Lattice parameters (Å, degrees): 3.4760 3.4760 30.5390 90.00 90.00 120.00
Space group R-3m (No. 166, hexagonal axes)
Inequivalent atoms, fractional coordinates:
La (0.0000, 0.0000, 0.0000)
Sc (0.0000, 0.0000, 0.2405)
Hg (0.0000, 0.0000, 0.5000)

***

Compound: Y2ZrSe
Source: Alexandria via LeMat-Bulk
Functional: PBE-GGA
Structure: optimized geometry

Summary:
Electronic total energy: -6.87 eV per atom
N(E_F): 7.903 states/eV per cell

Lattice parameters (Å, degrees): 3.6720 4.4928 12.6249 90.00 90.00 90.00
Space group Amm2 (No. 38)
Inequivalent atoms, fractional coordinates:
Y (0.0000, 0.0000, 0.0000)
Y (0.5000, 0.0000, 0.3151)
Zr (0.0000, 0.0000, 0.7121)
Se (0.5000, 0.0000, 0.5432)

***

Compound: GaCuRhF6
Source: Alexandria via LeMat-Bulk
Functional: PBE-GGA
Structure: optimized geometry

Summary:
Electronic total energy: -4.54 eV per atom
N(E_F): 11.269 states/eV per cell

Lattice parameters (Å, degrees): 5.3327 5.3327 9.3308 90.00 90.00 120.00
Space group P-31c (No. 163)
Inequivalent atoms, fractional coordinates:
Ga (0.3333, 0.6667, 0.2500)
Cu (0.3333, 0.6667, 0.7500)
Rh (0.0000, 0.0000, 0.0000)
F (0.0282, 0.3650, 0.1356)

***

Compound: CrCoIr2
Source: Alexandria via LeMat-Bulk
Functional: PBE-GGA
Structure: optimized geometry

Summary:
Electronic total energy: -8.48 eV per atom
N(E_F): 11.911 states/eV per cell

Lattice parameters (Å, degrees): 2.7951 4.2885 8.7798 90.00 90.00 90.00
Space group Imm2 (No. 44)
Inequivalent atoms, fractional coordinates:
Cr (0.0000, 0.0000, 0.0000)
Co (0.0000, 0.5000, 0.2846)
Ir (0.0000, 0.0000, 0.5338)
Ir (0.0000, 0.5000, 0.7467)

***

Compound: Tl2Sn3HgI8
Source: Alexandria via LeMat-Bulk
Functional: PBE-GGA
Structure: optimized geometry

Summary:
Electronic total energy: -2.58 eV per atom
N(E_F): 0.000 states/eV per cell

Lattice parameters (Å, degrees): 9.3010 9.3010 28.0496 90.00 90.00 120.00
Space group R3m (No. 160, hexagonal axes)
Inequivalent atoms, fractional coordinates:
Tl (0.0000, 0.0000, 0.0000)
Tl (0.0000, 0.0000, 0.3520)
Sn (0.0102, 0.5051, 0.4886)
Hg (0.0000, 0.0000, 0.6309)
I (0.0000, 0.0000, 0.2196)
I (0.0000, 0.0000, 0.7571)
I (0.0155, 0.5078, 0.7485)
I (0.1761, 0.3523, 0.5503)

***

Compound: LiSmIn
Source: Alexandria via LeMat-Bulk
Functional: PBE-GGA
Structure: optimized geometry

Summary:
Electronic total energy: -3.33 eV per atom
N(E_F): 7.444 states/eV per cell

Lattice parameters (Å, degrees): 3.6002 3.6002 11.4898 90.00 90.00 90.00
Space group I4mm (No. 107)
Inequivalent atoms, fractional coordinates:
Li (0.0000, 0.0000, 0.0000)
Sm (0.0000, 0.0000, 0.3036)
In (0.0000, 0.0000, 0.6155)

***

Compound: K2Tc
Source: Alexandria via LeMat-Bulk
Functional: PBE-GGA
Structure: optimized geometry

Summary:
ΔE to the lowest computed polymorph: 0.3085 eV/atom
N(E_F): 13.485 states/eV per cell

Lattice parameters (Å, degrees): 9.6081 9.6081 4.6762 90.00 90.00 90.00
Space group I4/mcm (No. 140)
Inequivalent atoms, fractional coordinates:
K (0.1624, 0.3376, 0.0000)
Tc (0.0000, 0.0000, 0.2500)

***

Compound: CrMo2Br
Source: Alexandria via LeMat-Bulk
Functional: PBE-GGA
Structure: optimized geometry

Summary:
ΔE to the lowest computed polymorph: 0.3037 eV/atom
N(E_F): 6.176 states/eV per cell

Lattice parameters (Å, degrees): 3.0798 4.3849 9.2894 90.00 90.00 90.00
Space group Immm (No. 71)
Inequivalent atoms, fractional coordinates:
Cr (0.0000, 0.0000, 0.0000)
Mo (0.0000, 0.5000, 0.2442)
Br (0.0000, 0.0000, 0.5000)

***

Compound: HgBi2Pd7Pb2
Source: Alexandria via LeMat-Bulk
Functional: PBE-GGA
Structure: optimized geometry

Summary:
Electronic total energy: -4.46 eV per atom
N(E_F): 12.571 states/eV per cell

Lattice parameters (Å, degrees): 5.7214 5.6741 15.7572 90.00 96.47 90.00
Space group C2/m (No. 12)
Inequivalent atoms, fractional coordinates:
Hg (0.0000, 0.0000, 0.0000)
Bi (0.1345, 0.0000, 0.3960)
Pd (0.0000, 0.5000, 0.0000)
Pd (0.1610, 0.5000, 0.4365)
Pd (0.2083, 0.2502, 0.8678)
Pb (0.0808, 0.5000, 0.2542)

***

Compound: Li2HfAs
Source: Alexandria via LeMat-Bulk
Functional: PBE-GGA
Structure: optimized geometry

Summary:
Electronic total energy: -4.89 eV per atom
N(E_F): 6.420 states/eV per cell

Lattice parameters (Å, degrees): 3.7904 3.7904 20.9648 90.00 90.00 90.00
Space group I-42d (No. 122)
Inequivalent atoms, fractional coordinates:
Li (0.2268, 0.2500, 0.1250)
Hf (0.0000, 0.0000, 0.5000)
As (0.0000, 0.0000, 0.0000)

***

Compound: SiSbOs2
Source: Alexandria via LeMat-Bulk
Functional: PBE-GGA
Structure: optimized geometry

Summary:
ΔE to the lowest computed polymorph: 0.0214 eV/atom
N(E_F): 1.848 states/eV per cell

Lattice parameters (Å, degrees): 3.0700 3.0700 6.5126 90.00 90.00 90.00
Space group P4/mmm (No. 123)
Inequivalent atoms, fractional coordinates:
Si (0.0000, 0.0000, 0.0000)
Sb (0.0000, 0.0000, 0.5000)
Os (0.5000, 0.5000, 0.2154)

***

Compound: Ce3Ho4S8
Source: Alexandria via LeMat-Bulk
Functional: PBE-GGA
Structure: optimized geometry

Summary:
Electronic total energy: -6.64 eV per atom
N(E_F): 35.994 states/eV per cell

Lattice parameters (Å, degrees): 11.1578 11.1674 7.8643 90.00 134.72 90.00
Space group C2/m (No. 12)
Inequivalent atoms, fractional coordinates:
Ce (0.0000, 0.0000, 0.0000)
Ce (0.2500, 0.2500, 0.0000)
Ho (0.0000, 0.5000, 0.0000)
Ho (0.0000, 0.5000, 0.5000)
Ho (0.2500, 0.2500, 0.5000)
S (0.0000, 0.2531, 0.5000)
S (0.0000, 0.2545, 0.0000)
S (0.2414, 0.5000, 0.9921)
S (0.2440, 0.5000, 0.4920)

***

Compound: Sc3Tc
Source: Alexandria via LeMat-Bulk
Functional: PBE-GGA
Structure: optimized geometry

Summary:
Electronic total energy: -7.26 eV per atom
N(E_F): 10.797 states/eV per cell

Lattice parameters (Å, degrees): 9.5064 9.5064 3.0240 90.00 90.00 120.00
Space group R-3m (No. 166, hexagonal axes)
Inequivalent atoms, fractional coordinates:
Sc (0.0000, 0.5000, 0.0000)
Tc (0.0000, 0.0000, 0.0000)

***

Compound: Tl2HgO2
Source: Alexandria via LeMat-Bulk
Functional: PBE-GGA
Structure: optimized geometry

Summary:
ΔE to the lowest computed polymorph: 0.0000 eV/atom

Lattice parameters (Å, degrees): 10.6693 6.4861 7.3955 90.00 100.80 90.00
Space group P2_1/c (No. 14)
Inequivalent atoms, fractional coordinates:
Tl (0.0777, 0.2450, 0.4423)
Tl (0.4181, 0.2247, 0.3555)
Hg (0.2497, 0.7262, 0.3510)
O (0.0715, 0.6222, 0.3508)
O (0.4271, 0.6640, 0.8483)